# GaFe4Co12

An optimized crystal structure of GaFe4Co12 (PBE, Alexandria).

a = 4.557 Å, b = 6.187 Å, c = 8.255 Å
α = 98.07°, β = 108.32°, γ = 108.76°
Site moments in Bohr magnetons follow the coordinates.
Positions (direct):
Co: 0.159 0.193 0.808  1.50
Fe: 0.000 0.000 0.500  2.78
Co: 0.994 0.263 0.256  1.59
Co: 0.490 0.131 0.338  1.72
Fe: 0.500 0.000 0.000  2.48
Co: 0.841 0.807 0.192  1.50
Co: 0.603 0.272 0.703  1.69
Co: 0.507 0.606 0.872  1.59
Co: 0.493 0.394 0.128  1.59
Co: 0.006 0.737 0.744  1.59
Co: 0.954 0.610 0.405  1.68
Co: 0.397 0.728 0.297  1.69
Ga: 0.000 0.000 0.000  -0.12
Fe: 0.500 0.500 0.500  2.63
Co: 0.510 0.869 0.662  1.72
Fe: 0.000 0.500 0.000  2.89
Co: 0.046 0.390 0.595  1.68

## Properties
Formation energy = 0.181 eV per atom

=====

# Ga2Fe2Co15

An optimized crystal structure of Ga2Fe2Co15 (PBE, Alexandria).

a = 6.180 Å, b = 6.180 Å, c = 6.180 Å
α = 82.47°, β = 82.47°, γ = 82.47°
Site moments in Bohr magnetons follow the coordinates.
Positions (direct):
Co: 0.295 0.000 0.705  1.58
Co: 0.000 0.705 0.295  1.58
Co: 0.500 0.000 0.000  1.43
Co: 0.000 0.295 0.705  1.58
Co: 0.705 0.000 0.295  1.58
Co: 0.361 0.844 0.361  1.58
Co: 0.000 0.000 0.500  1.43
Co: 0.844 0.361 0.361  1.58
Co: 0.361 0.361 0.844  1.58
Fe: 0.621 0.621 0.621  3.07
Fe: 0.379 0.379 0.379  3.07
Co: 0.156 0.639 0.639  1.58
Co: 0.639 0.639 0.156  1.58
Ga: 0.884 0.884 0.884  -0.09
Co: 0.000 0.500 0.000  1.43
Co: 0.639 0.156 0.639  1.58
Ga: 0.116 0.116 0.116  -0.09
Co: 0.705 0.295 0.000  1.58
Co: 0.295 0.705 0.000  1.58

## Properties
Energy above the most stable polymorph in this dataset = 1.8 kJ per mole of atoms
Formation energy = 0.156 eV per atom

=====

# GaFe8Co5

An optimized crystal structure of GaFe8Co5 (PBE, Alexandria).

a = 6.342 Å, b = 6.195 Å, c = 6.284 Å
α = 120.89°, β = 89.88°, γ = 121.20°
Site moments in Bohr magnetons follow the coordinates.
Positions (direct):
Fe: 0.815 0.825 0.437  2.53
Ga: 0.241 0.860 0.683  -0.13
Fe: 0.349 0.487 0.366  2.59
Fe: 0.287 0.159 0.504  2.46
Co: 0.881 0.156 0.304  1.69
Fe: 0.611 0.833 0.846  2.67
Co: 0.408 0.824 0.233  1.75
Co: 0.691 0.166 0.703  1.57
Co: 0.550 0.493 0.974  1.70
Fe: 0.145 0.482 0.771  2.40
Fe: 0.020 0.829 0.035  2.62
Co: 0.742 0.489 0.560  1.64
Fe: 0.077 0.166 0.910  2.29
Fe: 0.933 0.483 0.173  2.62

## Properties
Formation energy = 0.068 eV per atom

=====

# Ga2Fe8Co

An optimized crystal structure of Ga2Fe8Co (PBE, Alexandria).

a = 4.771 Å, b = 4.732 Å, c = 7.634 Å
α = 108.06°, β = 120.74°, γ = 90.00°
Site moments in Bohr magnetons follow the coordinates.
Positions (direct):
Ga: 0.444 0.806 0.612  -0.11
Fe: 0.751 0.339 0.168  2.35
Fe: 0.843 0.751 0.502  2.23
Fe: 0.249 0.171 0.832  2.35
Fe: 0.249 0.661 0.832  2.35
Ga: 0.556 0.194 0.388  -0.11
Co: 0.000 0.000 0.000  1.64
Fe: 0.157 0.249 0.498  2.23
Fe: 0.745 0.412 0.824  2.58
Fe: 0.751 0.829 0.168  2.35
Fe: 0.255 0.588 0.176  2.58

## Properties
Formation energy = 0.148 eV per atom

=====

# GaFeCo14

An optimized crystal structure of GaFeCo14 (PBE, Alexandria).

a = 5.007 Å, b = 5.007 Å, c = 8.119 Å
α = 90.00°, β = 90.00°, γ = 119.61°
Site moments in Bohr magnetons follow the coordinates.
Positions (direct):
Co: 0.167 0.335 0.500  1.46
Co: 0.832 0.666 0.757  1.55
Co: 0.334 0.168 0.757  1.55
Co: 0.334 0.168 0.243  1.55
Co: 0.335 0.665 0.246  1.57
Co: 0.832 0.666 0.243  1.55
Co: 0.335 0.665 0.754  1.57
Co: 0.168 0.334 0.000  1.66
Co: 0.667 0.333 0.000  1.63
Co: 0.167 0.833 0.000  1.59
Co: 0.835 0.165 0.249  1.59
Co: 0.835 0.165 0.751  1.59
Co: 0.666 0.832 0.000  1.66
Ga: 0.164 0.836 0.500  -0.12
Fe: 0.663 0.337 0.500  2.48
Co: 0.665 0.833 0.500  1.46

## Properties
Formation energy = -0.019 eV per atom

=====

# Ga11Fe9Co4

An optimized crystal structure of Ga11Fe9Co4 (PBE, Alexandria).

a = 11.019 Å, b = 11.019 Å, c = 2.674 Å
α = 90.00°, β = 90.00°, γ = 109.10°
Site moments in Bohr magnetons follow the coordinates.
Positions (direct):
Fe: 0.926 0.785 0.500  2.16
Fe: 0.500 0.500 0.500  2.81
Co: 0.246 0.454 0.500  0.40
Co: 0.754 0.546 0.500  0.40
Ga: 0.707 0.707 0.000  -0.05
Ga: 0.588 0.945 0.000  -0.07
Ga: 0.055 0.412 0.000  -0.07
Fe: 0.785 0.926 0.500  2.16
Ga: 0.152 0.848 0.000  -0.09
Ga: 0.412 0.055 0.000  -0.07
Ga: 0.637 0.363 0.000  -0.06
Ga: 0.000 0.000 0.000  -0.08
Fe: 0.646 0.160 0.500  2.20
Fe: 0.215 0.074 0.500  2.16
Ga: 0.848 0.152 0.000  -0.09
Fe: 0.354 0.840 0.500  2.20
Co: 0.546 0.754 0.500  0.40
Fe: 0.840 0.354 0.500  2.20
Fe: 0.074 0.215 0.500  2.16
Ga: 0.363 0.637 0.000  -0.06
Ga: 0.293 0.293 0.000  -0.05
Ga: 0.945 0.588 0.000  -0.07
Fe: 0.160 0.646 0.500  2.20
Co: 0.454 0.246 0.500  0.40

## Properties
Formation energy = -0.060 eV per atom

=====

# GaFeCo2H

An optimized crystal structure of GaFeCo2H (PBE, Alexandria).

a = 3.685 Å, b = 3.685 Å, c = 3.575 Å
α = 90.00°, β = 90.00°, γ = 90.00°
Site moments in Bohr magnetons follow the coordinates.
Positions (direct):
Co: 0.500 0.000 0.000  0.95
Ga: 0.500 0.500 0.500  -0.09
Co: 0.000 0.500 0.000  0.95
H: 0.000 0.000 0.000  -0.01
Fe: 0.000 0.000 0.500  2.38

## Properties
Total energy = -5.925 eV per atom

=====

# GaFe2CoH

An optimized crystal structure of GaFe2CoH (PBE, Alexandria).

a = 3.630 Å, b = 3.630 Å, c = 3.741 Å
α = 90.00°, β = 90.00°, γ = 90.00°
Site moments in Bohr magnetons follow the coordinates.
Positions (direct):
Fe: 0.000 0.500 0.000  2.22
Ga: 0.500 0.500 0.500  -0.12
Co: 0.000 0.000 0.500  0.89
Fe: 0.500 0.000 0.000  2.22
H: 0.000 0.000 0.000  -0.02

## Properties
Total energy = -6.199 eV per atom

=====

# Hf2GaFe2Co5

An optimized crystal structure of Hf2GaFe2Co5 (PBE, Alexandria).

a = 3.590 Å, b = 8.633 Å, c = 8.633 Å
α = 90.00°, β = 90.00°, γ = 90.00°
Site moments in Bohr magnetons follow the coordinates.
Positions (direct):
Co: 0.500 0.062 0.792  1.03
Co: 0.500 0.292 0.562  1.03
Hf: 0.000 0.678 0.178  -0.30
Co: 0.500 0.208 0.062  1.03
Ga: 0.000 0.000 0.000  -0.01
Co: 0.500 0.438 0.292  1.03
Hf: 0.000 0.322 0.822  -0.30
Hf: 0.000 0.178 0.322  -0.30
Co: 0.500 0.562 0.708  1.03
Fe: 0.000 0.380 0.120  2.02
Co: 0.500 0.938 0.208  1.03
Co: 0.500 0.000 0.500  1.06
Hf: 0.000 0.822 0.678  -0.30
Co: 0.500 0.792 0.938  1.03
Co: 0.500 0.708 0.438  1.03
Fe: 0.000 0.120 0.620  2.02
Fe: 0.000 0.620 0.880  2.02
Co: 0.500 0.500 0.000  1.06
Fe: 0.000 0.880 0.380  2.02
Ga: 0.000 0.500 0.500  -0.01

## Properties
Formation energy = -0.163 eV per atom

=====

# HoGa3FeCo

An optimized crystal structure of HoGa3FeCo (PBE, Alexandria).

a = 5.504 Å, b = 7.581 Å, c = 6.312 Å
α = 126.90°, β = 90.00°, γ = 90.00°
Positions (direct):
Fe: 0.750 0.573 0.145
Ga: 0.000 0.744 0.000
Ga: 0.750 0.801 0.603
Ga: 0.500 0.744 0.000
Co: 0.250 0.971 0.943
Ho: 0.250 0.709 0.418
Co: 0.750 0.029 0.057
Ga: 0.000 0.256 0.000
Fe: 0.250 0.427 0.855
Ga: 0.250 0.199 0.397
Ga: 0.500 0.256 0.000
Ho: 0.750 0.291 0.582

## Properties
Formation energy = -0.175 eV per atom

=====

# Ho2GaFeCo6

An optimized crystal structure of Ho2GaFeCo6 (PBE, Alexandria).

a = 6.169 Å, b = 6.169 Å, c = 6.169 Å
α = 60.00°, β = 60.00°, γ = 90.00°
Site moments in Bohr magnetons follow the coordinates.
Positions (direct):
Co: 0.255 0.745 0.000  1.31
Ho: 0.250 0.750 0.500  -0.32
Fe: 0.500 0.500 0.000  2.17
Co: 0.255 0.255 0.490  1.31
Co: 0.255 0.255 0.000  1.31
Co: 0.745 0.745 0.000  1.31
Ga: 0.000 0.000 0.000  -0.07
Co: 0.745 0.745 0.510  1.31
Co: 0.745 0.255 0.000  1.31
Ho: 0.750 0.250 0.500  -0.32

## Properties
Formation energy = 0.377 eV per atom

=====

# Ho2Ga2FeCo5

An optimized crystal structure of Ho2Ga2FeCo5 (PBE, Alexandria).

a = 3.285 Å, b = 9.480 Å, c = 9.480 Å
α = 90.00°, β = 90.00°, γ = 90.00°
Site moments in Bohr magnetons follow the coordinates.
Positions (direct):
Ga: 0.000 0.626 0.874  -0.05
Ho: 0.000 0.328 0.828  -0.28
Co: 0.500 0.194 0.059  1.00
Ga: 0.000 0.126 0.626  -0.05
Co: 0.500 0.694 0.441  1.00
Fe: 0.000 0.500 0.500  2.82
Ga: 0.000 0.874 0.374  -0.05
Co: 0.500 0.941 0.194  1.00
Co: 0.500 0.000 0.500  0.10
Co: 0.500 0.306 0.559  1.00
Co: 0.500 0.500 0.000  0.10
Ga: 0.000 0.374 0.126  -0.05
Fe: 0.000 0.000 0.000  2.82
Co: 0.500 0.806 0.941  1.00
Ho: 0.000 0.828 0.672  -0.28
Ho: 0.000 0.172 0.328  -0.28
Ho: 0.000 0.672 0.172  -0.28
Co: 0.500 0.441 0.306  1.00
Co: 0.500 0.059 0.806  1.00
Co: 0.500 0.559 0.694  1.00

## Properties
Formation energy = -0.137 eV per atom

=====

| no. | N(E_F) (states/eV/cell) | V (Å³/atom) |
| --- | --- | --- |
| 1 | 17.94 | 11.9 |
| 2 | 17.81 | 12.1 |
| 3 | 10.32 | 12.1 |
| 4 | 10.20 | 12.6 |
| 5 | 15.49 | 11.1 |
| 6 | 21.23 | 12.8 |
| 7 | 4.63 | 9.7 |
| 8 | 3.51 | 9.9 |
| 9 | 24.01 | 13.4 |
| 10 | 5.53 | 17.6 |
| 11 | 8.08 | 16.6 |
| 12 | 17.71 | 14.8 |